A plane-wave DFT calculation with GGA-PBE was carried out for an optimized crystal structure of Ti4Ni2N.

E_form (uncorrected): -0.63 eV per atom
total magnetic moment: 0.0 μB/cell
polymorph energy (0 for the lowest one): 0.1995 eV/atom
N(E_F): 3.723 states/eV/f.u.

a = 4.0191 Å, b = 4.0191 Å, c = 6.6886 Å
α = 72.52°, β = 72.52°, γ = 90.00°
Last column: nearest neighbours and their distance in Å.
Sites, in units of the cell vectors:
Ti: 0.0000 0.5000 0.0000  2 N 2.01
Ni: 0.3669 0.3669 0.2663  1 Ti 2.25
Ti: 0.5000 0.0000 0.0000  2 N 2.01
Ti: 0.1814 0.1814 0.6371  1 N 2.20, 1 Ni 2.25
Ni: 0.6331 0.6331 0.7337  1 Ti 2.25
Ti: 0.8186 0.8186 0.3629  1 N 2.20, 1 Ni 2.25
N: 0.0000 0.0000 0.0000  6 Ti 2.01-2.20

A plane-wave DFT calculation with GGA-PBE was carried out for an optimized crystal structure of Dy2TmAlN.

E_form (uncorrected): -0.93 eV per atom
total magnetic moment: 0.0 μB/cell
N(E_F): 2.135 states/eV/f.u.

a = 4.6893 Å, b = 4.7743 Å, c = 4.7743 Å
α = 90.00°, β = 90.00°, γ = 90.00°
Last column: nearest neighbours and their distance in Å.
Sites, in units of the cell vectors:
N: 0.0000 0.0000 0.0000  2 Tm 2.34, 4 Dy 2.39
Tm: 0.5000 0.0000 0.0000  2 N 2.34
Dy: 0.0000 0.5000 0.0000  2 N 2.39
Dy: 0.0000 0.0000 0.5000  2 N 2.39
Al: 0.5000 0.5000 0.5000  8 Dy 3.35, 4 Tm 3.38

A plane-wave DFT calculation with GGA-PBE was carried out for an optimized crystal structure of Tl4Sn5Hg.

total magnetic moment: 0.0 μB/cell
N(E_F): 4.821 states/eV/f.u.
ΔE_f: 5.7 kJ/mol of atoms

a = 5.3489 Å, b = 8.0904 Å, c = 8.0904 Å
α = 76.81°, β = 70.70°, γ = 70.70°
Last column: nearest neighbours and their distance in Å.
Sites, in units of the cell vectors:
Tl: 0.5969 0.1531 0.1531  2 Hg 3.20, 6 Sn 3.44-3.45, 1 Tl 3.52
Sn: 0.5205 0.8988 0.5602  4 Sn 3.14-3.40, 4 Tl 3.44-3.45
Sn: 0.7500 0.5000 0.5000  4 Sn 3.14, 4 Tl 3.25
Sn: 0.5205 0.5602 0.8988  4 Sn 3.14-3.40, 4 Tl 3.44-3.45
Tl: 0.2500 0.3155 0.6845  1 Hg 3.17, 4 Sn 3.25-3.44
Tl: 0.2500 0.6845 0.3155  1 Hg 3.17, 4 Sn 3.25-3.44
Hg: 0.2500 0.0000 0.0000  6 Tl 3.17-3.20, 4 Sn 3.54
Sn: 0.9795 0.1012 0.4398  4 Sn 3.14-3.40, 4 Tl 3.44-3.45
Sn: 0.9795 0.4398 0.1012  4 Sn 3.14-3.40, 4 Tl 3.44-3.45
Tl: 0.9031 0.8469 0.8469  2 Hg 3.20, 6 Sn 3.44-3.45, 1 Tl 3.52

A plane-wave DFT calculation with GGA-PBE was carried out for an optimized crystal structure of LaCd4Hg.

total magnetic moment: 0.0 μB/cell
polymorph energy (0 for the lowest one): 0.0048 eV/atom
N(E_F): 2.750 states/eV/f.u.
ΔE_f: -23.0 kJ/mol of atoms

a = 4.6708 Å, b = 7.4115 Å, c = 9.0757 Å
α = 90.00°, β = 104.91°, γ = 90.00°
Last column: nearest neighbours and their distance in Å.
Sites, in units of the cell vectors:
Hg: 0.2339 0.7500 0.4678  7 Cd 2.86-2.99
Cd: 0.9355 0.2500 0.8709  1 Hg 2.97, 8 Cd 3.19-3.27
Cd: 0.6664 0.5556 0.3328  3 Hg 2.86-2.99, 2 Cd 2.88-2.95
Cd: 0.5000 0.5000 0.0000  6 Cd 2.95-3.19
Cd: 0.3336 0.0556 0.6672  3 Hg 2.86-2.99, 2 Cd 2.88-2.95
Cd: 0.6664 0.9444 0.3328  3 Hg 2.86-2.99, 2 Cd 2.88-2.95
Hg: 0.7661 0.2500 0.5322  7 Cd 2.86-2.99
Cd: 0.0645 0.7500 0.1291  1 Hg 2.97, 8 Cd 3.19-3.27
La: 0.8731 0.7500 0.7462  9 Cd 3.33-3.72, 2 Hg 3.38
Cd: 0.3336 0.4444 0.6672  3 Hg 2.86-2.99, 2 Cd 2.88-2.95
La: 0.1269 0.2500 0.2538  9 Cd 3.33-3.72, 2 Hg 3.38
Cd: 0.5000 0.0000 0.0000  6 Cd 2.95-3.19

A plane-wave DFT calculation with GGA-PBE was carried out for an optimized crystal structure of NdPu2Pb9.

total magnetic moment: 12.0 μB/cell
N(E_F): 23.309 states/eV/f.u.
ΔE_f: -13.7 kJ/mol of atoms

a = 5.8992 Å, b = 5.8992 Å, c = 10.8177 Å
α = 90.00°, β = 90.00°, γ = 72.59°
Last column: nearest neighbours and their distance in Å.
Sites, in units of the cell vectors:
Pb: 0.0000 0.5000 0.1692  8 Pb 3.44-3.66, 2 Nd 3.47, 2 Pu 3.48
Pb: 0.5000 0.0000 0.1692  8 Pb 3.44-3.66, 2 Nd 3.47, 2 Pu 3.48
Pb: 0.5000 0.0000 0.5000  4 Pu 3.42, 8 Pb 3.45-3.58
Pb: 0.0000 0.5000 0.8308  8 Pb 3.44-3.66, 2 Nd 3.47, 2 Pu 3.48
Pb: 0.5000 0.5000 0.3337  10 Pb 3.44-3.61, 2 Pu 3.49
Pb: 0.5000 0.5000 0.0000  10 Pb 3.47-3.61, 2 Nd 3.49
Nd: 0.0000 0.0000 0.0000  10 Pb 3.47-3.49, 2 Pu 3.68
Pb: 0.5000 0.0000 0.8308  8 Pb 3.44-3.66, 2 Nd 3.47, 2 Pu 3.48
Pu: 0.0000 0.0000 0.3400  10 Pb 3.42-3.49, 1 Pu 3.46, 1 Nd 3.68
Pb: 0.0000 0.5000 0.5000  4 Pu 3.42, 8 Pb 3.45-3.58
Pu: 0.0000 0.0000 0.6600  10 Pb 3.42-3.49, 1 Pu 3.46, 1 Nd 3.68
Pb: 0.5000 0.5000 0.6663  10 Pb 3.44-3.61, 2 Pu 3.49

A plane-wave DFT calculation with GGA-PBE was carried out for an optimized crystal structure of HfGa3Ni12.

total magnetic moment: 2.0 μB/cell
N(E_F): 15.868 states/eV/f.u.
ΔE_f: -33.8 kJ/mol of atoms

a = 3.6379 Å, b = 3.6379 Å, c = 14.3298 Å
α = 90.00°, β = 90.00°, γ = 90.00°
Last column: nearest neighbours and their distance in Å.
Sites, in units of the cell vectors:
Ni: 0.5000 0.0000 0.6229  4 Ga 2.52-2.53, 8 Ni 2.52-2.57
Ni: 0.5000 0.5000 0.0000  4 Hf 2.57, 8 Ni 2.63
Ni: 0.5000 0.0000 0.1330  8 Ni 2.53-2.63, 2 Ga 2.53, 2 Hf 2.63
Ni: 0.5000 0.0000 0.8670  8 Ni 2.53-2.63, 2 Ga 2.53, 2 Hf 2.63
Ni: 0.5000 0.5000 0.7447  8 Ni 2.52-2.53, 4 Ga 2.57
Ga: 0.0000 0.0000 0.5000  12 Ni 2.53-2.57
Ni: 0.0000 0.5000 0.3771  4 Ga 2.52-2.53, 8 Ni 2.52-2.57
Ni: 0.5000 0.5000 0.5000  8 Ni 2.53, 4 Ga 2.57
Ni: 0.0000 0.5000 0.6229  4 Ga 2.52-2.53, 8 Ni 2.52-2.57
Ni: 0.0000 0.5000 0.1330  8 Ni 2.53-2.63, 2 Ga 2.53, 2 Hf 2.63
Ni: 0.0000 0.5000 0.8670  8 Ni 2.53-2.63, 2 Ga 2.53, 2 Hf 2.63
Ga: 0.0000 0.0000 0.2556  12 Ni 2.52-2.57
Hf: 0.0000 0.0000 0.0000  12 Ni 2.57-2.63
Ni: 0.5000 0.5000 0.2553  8 Ni 2.52-2.53, 4 Ga 2.57
Ni: 0.5000 0.0000 0.3771  4 Ga 2.52-2.53, 8 Ni 2.52-2.57
Ga: 0.0000 0.0000 0.7444  12 Ni 2.52-2.57

A plane-wave DFT calculation with GGA-PBE was carried out for an optimized crystal structure of MgScB2Te.

E_form (uncorrected): 1.26 eV per atom
total magnetic moment: 0.0 μB/cell
N(E_F): 2.988 states/eV/f.u.

a = 4.3063 Å, b = 5.6995 Å, c = 4.3063 Å
α = 90.00°, β = 90.00°, γ = 90.00°
Last column: nearest neighbours and their distance in Å.
Sites, in units of the cell vectors:
B: 0.5000 0.0000 0.0000  2 Mg 2.15
Sc: 0.0000 0.5000 0.0000  2 Mg 2.85, 4 Te 3.05
Mg: 0.0000 0.0000 0.0000  4 B 2.15
B: 0.0000 0.0000 0.5000  2 Mg 2.15
Te: 0.5000 0.5000 0.5000  4 Sc 3.05

A plane-wave DFT calculation with GGA-PBE was carried out for an optimized crystal structure of NaZnSb2Ir.

E_form (uncorrected): 1.42 eV per atom
total magnetic moment: 0.0 μB/cell
N(E_F): 3.669 states/eV/f.u.

a = 5.1659 Å, b = 4.5976 Å, c = 5.1659 Å
α = 90.00°, β = 90.00°, γ = 90.00°
Last column: nearest neighbours and their distance in Å.
Sites, in units of the cell vectors:
Sb: 0.0000 0.0000 0.5000  2 Na 2.58
Zn: 0.0000 0.5000 0.0000  2 Na 2.30
Ir: 0.5000 0.5000 0.5000  8 Sb 3.46, 4 Zn 3.65
Sb: 0.5000 0.0000 0.0000  2 Na 2.58
Na: 0.0000 0.0000 0.0000  2 Zn 2.30

Q: Number 7 is which compound?
A: MgScB2Te

Q: Look up the total magnetic moment of the first one.
A: 0.0 μB/cell